Here is an optimized crystal structure of ZnFe2O4 from Alexandria. Energies are from PBE with a Hubbard U.

Cell lengths 5.081, 5.081, 10.048 Å; angles 90.00, 90.00, 146.43 degrees
Positions (direct):
Zn1 0.113 0.887 0.750
Zn2 0.887 0.113 0.250
Fe1 0.368 0.632 0.574
Fe2 0.368 0.632 0.926
Fe3 0.632 0.368 0.074
Fe4 0.632 0.368 0.426
O1 0.000 0.000 0.000
O2 0.000 0.000 0.500
O3 0.270 0.730 0.113
O4 0.270 0.730 0.387
O5 0.465 0.535 0.750
O6 0.535 0.465 0.250
O7 0.730 0.270 0.613
O8 0.730 0.270 0.887

Properties
- SG = No. 63
- total DFT energy (no corrections) (eV/atom) = -5.9765
- offset from the most stable computed form (meV per atom) = 0.0